# 1
YAgS, optimized geometry, DFT GGA-PBE; calculated volume = 23.588 A^3/atom; spin magnetization = 0.00 μB per cell; ΔE_f (raw) = -1109 meV/atom
1.0
2.304 1.330 7.697
-2.304 1.330 7.697
0.000 -2.660 7.697
Y Ag S
2 2 2
Direct
0.090 0.090 0.090
0.910 0.910 0.910
0.333 0.333 0.333
0.667 0.667 0.667
0.212 0.212 0.212
0.788 0.788 0.788

=====

# 2
ScSe2IN, optimized geometry, DFT GGA-PBE; calculated volume = 23.671 A^3/atom; spin magnetization = 0.61 μB per cell; ΔE_f (raw) = 734 meV/atom
1.0
5.484 0.000 0.000
0.000 5.484 0.000
0.000 0.000 3.935
Sc Se I N
1 2 1 1
Direct
0.000 0.000 0.000
0.000 0.500 0.500
0.500 0.000 0.500
0.500 0.500 0.500
0.500 0.500 0.000

=====

# 3
Tl2Co, optimized geometry, DFT GGA-PBE; calculated volume = 22.659 A^3/atom; spin magnetization = 1.08 μB per cell; ΔH_f (0 K) = 0.637 eV per atom
1.0
4.449 0.000 0.000
-2.225 3.853 0.000
0.000 0.000 3.966
Tl Co
2 1
Direct
0.333 0.667 0.257
0.667 0.333 0.743
0.000 0.000 0.000

=====

# 4
Y3Ho4Pd4, optimized geometry, DFT GGA-PBE; calculated volume = 25.165 A^3/atom; spin magnetization = 0.00 μB per cell; ΔH_f (0 K) = -0.601 eV per atom
1.0
-1.928 4.506 7.965
1.928 -4.506 7.965
1.928 4.506 -7.965
Y Ho Pd
3 4 4
Direct
0.000 0.000 0.000
0.395 0.895 0.500
0.605 0.105 0.500
0.023 0.337 0.686
0.350 0.663 0.686
0.650 0.337 0.314
0.977 0.663 0.314
0.248 0.248 0.000
0.317 0.500 0.817
0.683 0.500 0.183
0.752 0.752 0.000